(1)
# Si3Pb | Alexandria | PBE | relaxed
data_Si3Pb
_chemical_formula_sum 'Si6 Pb2'
_symmetry_space_group_name_H-M 'I m m m'
_symmetry_Int_Tables_number 71
_symmetry_space_group_name_Hall '-I 2 2'
_cell_length_a 3.5455
_cell_length_b 5.4975
_cell_length_c 8.5550
_cell_angle_alpha 90.00
_cell_angle_beta 90.00
_cell_angle_gamma 90.00
loop_
_atom_site_label
_atom_site_type_symbol
_atom_site_fract_x
_atom_site_fract_y
_atom_site_fract_z
Si1 Si 0.0000 0.0000 0.0000
Si2 Si 0.0000 0.5000 0.3038
Pb1 Pb 0.0000 0.0000 0.5000
# D(E_F): 0.46 states/eV/atom
# uncorrected formation energy: 0.568 eV per atom


(2)
# HfMoS2 | Alexandria | PBE | relaxed
data_HfMoS2
_chemical_formula_sum 'Hf3 Mo3 S6'
_symmetry_space_group_name_H-M 'R -3 m'
_symmetry_Int_Tables_number 166
_symmetry_space_group_name_Hall '-R 3 2"'
_cell_length_a 3.1461
_cell_length_b 3.1461
_cell_length_c 25.1640
_cell_angle_alpha 90.00
_cell_angle_beta 90.00
_cell_angle_gamma 120.00
loop_
_atom_site_label
_atom_site_type_symbol
_atom_site_fract_x
_atom_site_fract_y
_atom_site_fract_z
Hf1 Hf 0.0000 0.0000 0.0000
Mo1 Mo 0.0000 0.0000 0.5000
S1 S 0.0000 0.0000 0.1012
# D(E_F): 0.91 states/eV/atom
# uncorrected formation energy: -0.442 eV per atom


(3)
# Ho4GaSnC | Alexandria | PBE | relaxed
data_Ho4GaSnC
_chemical_formula_sum 'Ho16 Ga4 Sn4 C4'
_symmetry_space_group_name_H-M 'C m c m'
_symmetry_Int_Tables_number 63
_symmetry_space_group_name_Hall '-C 2c 2'
_cell_length_a 6.7491
_cell_length_b 15.3611
_cell_length_c 6.7485
_cell_angle_alpha 90.00
_cell_angle_beta 90.00
_cell_angle_gamma 90.00
loop_
_atom_site_label
_atom_site_type_symbol
_atom_site_fract_x
_atom_site_fract_y
_atom_site_fract_z
Ho1 Ho 0.0000 0.0829 0.2500
Ho2 Ho 0.0000 0.4104 0.2500
Ho3 Ho 0.2500 0.2500 0.0000
Ga1 Ga 0.0000 0.1176 0.7500
Sn1 Sn 0.0000 0.3888 0.7500
C1 C 0.0000 0.2479 0.2500
# D(E_F): 0.61 states/eV/atom
# ΔE_f: -0.524 eV/atom


(4)
# Tb2Pu3N4 | Alexandria | PBE | relaxed
data_Tb2Pu3N4
_chemical_formula_sum 'Tb4 Pu6 N8'
_symmetry_space_group_name_H-M 'C 1 2/m 1'
_symmetry_Int_Tables_number 12
_symmetry_space_group_name_Hall '-C 2y'
_cell_length_a 11.7084
_cell_length_b 3.5069
_cell_length_c 8.6321
_cell_angle_alpha 90.00
_cell_angle_beta 120.47
_cell_angle_gamma 90.00
loop_
_atom_site_label
_atom_site_type_symbol
_atom_site_fract_x
_atom_site_fract_y
_atom_site_fract_z
Tb1 Tb 0.1065 0.0000 0.3892
Pu1 Pu 0.0000 0.5000 0.0000
Pu2 Pu 0.2018 0.5000 0.8053
N1 N 0.1055 0.0000 0.9104
N2 N 0.2014 0.5000 0.3017
# D(E_F): 1.86 states/eV/atom
# uncorrected formation energy: -1.191 eV per atom


Copy entry 2 word for word.
# HfMoS2 | Alexandria | PBE | relaxed
data_HfMoS2
_chemical_formula_sum 'Hf3 Mo3 S6'
_symmetry_space_group_name_H-M 'R -3 m'
_symmetry_Int_Tables_number 166
_symmetry_space_group_name_Hall '-R 3 2"'
_cell_length_a 3.1461
_cell_length_b 3.1461
_cell_length_c 25.1640
_cell_angle_alpha 90.00
_cell_angle_beta 90.00
_cell_angle_gamma 120.00
loop_
_atom_site_label
_atom_site_type_symbol
_atom_site_fract_x
_atom_site_fract_y
_atom_site_fract_z
Hf1 Hf 0.0000 0.0000 0.0000
Mo1 Mo 0.0000 0.0000 0.5000
S1 S 0.0000 0.0000 0.1012
# D(E_F): 0.91 states/eV/atom
# uncorrected formation energy: -0.442 eV per atom